CrCuTc2 | PBE | relaxed

```
data_CrCuTc2
_chemical_formula_sum 'Cr1 Cu1 Tc2'
_cell_length_a 2.6394
_cell_length_b 3.7997
_cell_length_c 5.3118
_cell_angle_alpha 90.00
_cell_angle_beta 90.00
_cell_angle_gamma 90.00
_symmetry_space_group_name_H-M 'P 1'
_symmetry_Int_Tables_number 1
loop_
_symmetry_equiv_pos_as_xyz
'x,y,z'
loop_
_atom_site_label
_atom_site_type_symbol
_atom_site_fract_x
_atom_site_fract_y
_atom_site_fract_z
Cr1 Cr 0.5000 0.5000 0.2500
Cu1 Cu 0.5000 0.5000 0.7500
Tc1 Tc 0.0000 0.0000 0.0095
Tc2 Tc 0.0000 0.0000 0.4905
```

Calculated values
- density (g/cm3) = 9.71
- volume (A^3/atom) = 13.32
- space-group type = Pmmm, No. 47
- VASP energy (eV for the cell shown) = -33.6
- total magnetization (μB per atom) = 0.05
- energy of formation from the pure elements (eV per formula unit) = 0.84

LaMg6Pb2 | PBE | relaxed

```
data_LaMg6Pb2
_chemical_formula_sum 'La1 Mg6 Pb2'
_cell_length_a 4.5427
_cell_length_b 4.5427
_cell_length_c 11.3867
_cell_angle_alpha 90.00
_cell_angle_beta 90.00
_cell_angle_gamma 90.00
_symmetry_space_group_name_H-M 'P 1'
_symmetry_Int_Tables_number 1
loop_
_symmetry_equiv_pos_as_xyz
'x,y,z'
loop_
_atom_site_label
_atom_site_type_symbol
_atom_site_fract_x
_atom_site_fract_y
_atom_site_fract_z
La1 La 0.0000 0.0000 0.0000
Mg1 Mg 0.0000 0.5000 0.3042
Mg2 Mg 0.5000 0.0000 0.3042
Mg3 Mg 0.0000 0.5000 0.6958
Mg4 Mg 0.5000 0.0000 0.6958
Mg5 Mg 0.5000 0.5000 0.5000
Mg6 Mg 0.0000 0.0000 0.5000
Pb1 Pb 0.5000 0.5000 0.1337
Pb2 Pb 0.5000 0.5000 0.8663
```

Calculated values
- density (g/cm3) = 4.94
- volume (A^3/atom) = 26.11
- space-group type = P4/mmm, No. 123
- VASP energy (eV for the cell shown) = -23.4
- total magnetization (μB per atom) = 0.00
- energy of formation from the pure elements (eV per formula unit) = -1.49

Be3C4 | PBE | relaxed

```
data_Be3C4
_chemical_formula_sum 'Be3 C4'
_cell_length_a 3.7721
_cell_length_b 3.7721
_cell_length_c 3.7721
_cell_angle_alpha 90.00
_cell_angle_beta 90.00
_cell_angle_gamma 90.00
_symmetry_space_group_name_H-M 'P 1'
_symmetry_Int_Tables_number 1
loop_
_symmetry_equiv_pos_as_xyz
'x,y,z'
loop_
_atom_site_label
_atom_site_type_symbol
_atom_site_fract_x
_atom_site_fract_y
_atom_site_fract_z
Be1 Be 0.5000 0.0000 0.5000
Be2 Be 0.5000 0.5000 0.0000
Be3 Be 0.0000 0.5000 0.5000
C1 C 0.1499 0.8501 0.1499
C2 C 0.8501 0.1499 0.1499
C3 C 0.8501 0.8501 0.8501
C4 C 0.1499 0.1499 0.8501
```

Calculated values
- density (g/cm3) = 2.32
- volume (A^3/atom) = 7.67
- space-group type = P-43m, No. 215
- VASP energy (eV for the cell shown) = -38.1
- total magnetization (μB per atom) = 0.00
- energy of formation from the pure elements (eV per formula unit) = 9.95